DFT (PBE) results for a geometry-optimized CeYPuCd structure.

Structure (POSCAR):
```
CeYPuCd
1.0
-1.341 -5.076 -1.129
2.281 -2.517 -4.159
3.520 -3.962 0.862
Cd Pu Ce Y
1 1 1 1
direct
0.000 0.000 0.000
0.500 0.500 0.500
0.250 0.250 0.250
0.750 0.750 0.750
```

Summary:
Fermi-level density of states, states/eV/f.u.: 15.901
Space-group type: F-43m
DFT total energy, eV/atom: -6.88
Formation energy, eV per atom: 0.033

***

DFT (PBE) results for a geometry-optimized CePuZnCd structure.

Structure (POSCAR):
```
CePuZnCd
1.0
5.245 0.000 0.000
2.622 4.542 0.000
2.622 1.514 4.282
Zn Pu Ce Cd
1 1 1 1
direct
0.250 0.250 0.250
0.500 0.500 0.500
0.000 0.000 0.000
0.750 0.750 0.750
```

Summary:
Fermi-level density of states, states/eV/f.u.: 11.079
Space-group type: F-43m
DFT total energy, eV/atom: -5.66
Formation energy, eV per atom: -0.044

***

> DFT total energy of number 1 (CeYPuCd)?

-6.88 eV/atom